1.
A plane-wave DFT calculation with PBE was carried out for an optimized crystal structure of Rb2NbTcCl.

Unit cell a=6.9804 b=6.9804 c=4.5753 alpha=90.00 beta=90.00 gamma=90.00
With the nearest neighbours (Å) after each atom.
Space group P4/mmm (No. 123)
Unique sites:
Rb: 0.0000 0.5000 0.0000 [2 per cell]  2 Nb 3.49
Nb: 0.0000 0.0000 0.0000 [1 per cell]  2 Tc 2.29
Tc: 0.0000 0.0000 0.5000 [1 per cell]  2 Nb 2.29
Cl: 0.5000 0.5000 0.5000 [1 per cell]  8 Rb 4.17, 2 Cl 4.58

**Volume**: 222.93 Å³ per cell
**E above lowest polymorph**: 0.000 eV/atom

=====

2.
A plane-wave DFT calculation with PBE was carried out for an optimized crystal structure of AcSm2Dy8.

Unit cell a=19.3548 b=7.1010 c=5.5281 alpha=90.00 beta=93.12 gamma=90.00
With the nearest neighbours (Å) after each atom.
Space group C2/m (No. 12)
Unique sites:
Ac: 0.0000 0.0000 0.0000 [2 per cell]  10 Dy 3.62-3.88
Sm: 0.2147 0.5000 0.2477 [4 per cell]  11 Dy 3.26-3.58
Dy: 0.0463 0.5000 0.2403 [4 per cell]  2 Dy 3.12-3.47, 1 Sm 3.26
Dy: 0.1348 0.2696 0.7300 [8 per cell]  4 Dy 3.27-3.55, 3 Sm 3.48-3.57, 1 Ac 3.62
Dy: 0.1897 0.0000 0.2344 [4 per cell]  4 Sm 3.32-3.58, 4 Dy 3.50-3.55

**Volume**: 758.66 Å³ per cell
**Formation energy**: 134 meV per atom

=====

3.
A plane-wave DFT calculation with PBE was carried out for an optimized crystal structure of CdAu2Cl.

Unit cell a=3.2666 b=5.8297 c=8.7458 alpha=90.00 beta=90.00 gamma=90.00
With the nearest neighbours (Å) after each atom.
Space group Cmmm (No. 65)
Unique sites:
Cd: 0.0000 0.0000 0.0000 [2 per cell]  4 Au 2.75
Au: 0.0000 0.5000 0.2526 [4 per cell]  2 Cl 2.71, 2 Cd 2.75
Cl: 0.0000 0.0000 0.5000 [2 per cell]  4 Au 2.71

**Volume**: 166.55 Å³ per cell
**E above lowest polymorph**: 0.265 eV/atom

=====

4.
A plane-wave DFT calculation with PBE was carried out for an optimized crystal structure of Tb2HoSn9.

Unit cell a=4.7954 b=4.7954 c=13.6865 alpha=90.00 beta=90.00 gamma=90.00
With the nearest neighbours (Å) after each atom.
Space group P4/mmm (No. 123)
Unique sites:
Tb: 0.0000 0.0000 0.1667 [2 per cell]  12 Sn 3.31-3.39
Ho: 0.0000 0.0000 0.5000 [1 per cell]  12 Sn 3.30-3.39
Sn: 0.0000 0.5000 0.0000 [2 per cell]  4 Tb 3.31, 8 Sn 3.31-3.39
Sn: 0.0000 0.5000 0.3343 [4 per cell]  8 Sn 3.30-3.39, 2 Ho 3.30, 2 Tb 3.32
Sn: 0.5000 0.5000 0.1672 [2 per cell]  8 Sn 3.31, 4 Tb 3.39
Sn: 0.5000 0.5000 0.5000 [1 per cell]  8 Sn 3.30, 4 Ho 3.39

**Volume**: 314.73 Å³ per cell
**Formation energy**: -427 meV per atom